VASP calculation (PBE) on a relaxed KGaP2Pb crystal.

Summary:
- density of states at the Fermi level (states/eV/atom) = 0.642
- calculated formation energy (meV/atom) = 1232
- crystal system = tetragonal

```
data_KGaP2Pb
_symmetry_space_group_name_H-M 'P 1'
_symmetry_Int_Tables_number 1
_cell_length_a 5.435
_cell_length_b 5.435
_cell_length_c 5.307
_cell_angle_alpha 90.00
_cell_angle_beta 90.00
_cell_angle_gamma 90.00
loop_
_symmetry_equiv_pos_as_xyz
'x,y,z'
loop_
_atom_site_label
_atom_site_fract_x
_atom_site_fract_y
_atom_site_fract_z
P1 0.000 0.500 0.000
P2 0.500 0.000 0.000
Pb1 0.500 0.500 0.500
Ga1 0.000 0.000 0.500
K1 0.000 0.000 0.000
```



VASP calculation (PBE) on a relaxed KGaPPd2 crystal.

Summary:
- density of states at the Fermi level (states/eV/atom) = 0.595
- calculated formation energy (meV/atom) = 72
- crystal system = tetragonal

```
data_KGaPPd2
_symmetry_space_group_name_H-M 'P 1'
_symmetry_Int_Tables_number 1
_cell_length_a 4.579
_cell_length_b 5.802
_cell_length_c 4.579
_cell_angle_alpha 90.00
_cell_angle_beta 90.00
_cell_angle_gamma 90.00
loop_
_symmetry_equiv_pos_as_xyz
'x,y,z'
loop_
_atom_site_label
_atom_site_fract_x
_atom_site_fract_y
_atom_site_fract_z
P1 0.000 0.000 0.000
Pd1 0.500 0.000 0.000
K1 0.000 0.500 0.000
Ga1 0.500 0.500 0.500
Pd2 0.000 0.000 0.500
```



VASP calculation (PBE) on a relaxed KGa2PRu crystal.

Summary:
- density of states at the Fermi level (states/eV/atom) = 1.242
- calculated formation energy (meV/atom) = 1964
- crystal system = tetragonal

```
data_KGa2PRu
_symmetry_space_group_name_H-M 'P 1'
_symmetry_Int_Tables_number 1
_cell_length_a 5.240
_cell_length_b 5.222
_cell_length_c 5.240
_cell_angle_alpha 90.00
_cell_angle_beta 90.00
_cell_angle_gamma 90.00
loop_
_symmetry_equiv_pos_as_xyz
'x,y,z'
loop_
_atom_site_label
_atom_site_fract_x
_atom_site_fract_y
_atom_site_fract_z
K1 0.000 0.000 0.000
Ga1 0.000 0.000 0.500
Ru1 0.500 0.500 0.500
Ga2 0.500 0.000 0.000
P1 0.000 0.500 0.000
```



VASP calculation (PBE) on a relaxed KGaP2S crystal.

Summary:
- density of states at the Fermi level (states/eV/atom) = 1.169
- energy above the lowest structure with this stoichiometry (meV/atom) = 1197
- raw formation energy (eV per atom) = 1.49
- crystal system = tetragonal

```
data_KGaP2S
_symmetry_space_group_name_H-M 'P 1'
_symmetry_Int_Tables_number 1
_cell_length_a 5.940
_cell_length_b 5.940
_cell_length_c 5.661
_cell_angle_alpha 90.00
_cell_angle_beta 90.00
_cell_angle_gamma 90.00
loop_
_symmetry_equiv_pos_as_xyz
'x,y,z'
loop_
_atom_site_label
_atom_site_fract_x
_atom_site_fract_y
_atom_site_fract_z
Ga1 0.500 0.500 0.500
S1 0.000 0.000 0.500
P1 0.500 0.000 0.000
K1 0.000 0.000 0.000
P2 0.000 0.500 0.000
```



VASP calculation (PBE) on a relaxed KGaP2S crystal.

Summary:
- density of states at the Fermi level (states/eV/atom) = 0.601
- energy above the lowest structure with this stoichiometry (meV/atom) = 0
- raw formation energy (eV per atom) = 0.29
- crystal system = tetragonal

```
data_KGaP2S
_symmetry_space_group_name_H-M 'P 1'
_symmetry_Int_Tables_number 1
_cell_length_a 4.819
_cell_length_b 4.819
_cell_length_c 5.113
_cell_angle_alpha 90.00
_cell_angle_beta 90.00
_cell_angle_gamma 90.00
loop_
_symmetry_equiv_pos_as_xyz
'x,y,z'
loop_
_atom_site_label
_atom_site_fract_x
_atom_site_fract_y
_atom_site_fract_z
S1 0.000 0.000 0.500
Ga1 0.000 0.000 0.000
P1 0.500 0.000 0.000
K1 0.500 0.500 0.500
P2 0.000 0.500 0.000
```



VASP calculation (PBE) on a relaxed KGaP2S8 crystal.

Summary:
- density of states at the Fermi level (states/eV/atom) = 0.921
- raw formation energy (eV per atom) = -0.25
- crystal system = trigonal

```
data_KGaP2S8
_symmetry_space_group_name_H-M 'P 1'
_symmetry_Int_Tables_number 1
_cell_length_a 5.924
_cell_length_b 5.924
_cell_length_c 9.280
_cell_angle_alpha 90.00
_cell_angle_beta 90.00
_cell_angle_gamma 120.00
loop_
_symmetry_equiv_pos_as_xyz
'x,y,z'
loop_
_atom_site_label
_atom_site_fract_x
_atom_site_fract_y
_atom_site_fract_z
S1 0.996 0.332 0.664
S2 0.004 0.668 0.336
S3 0.668 0.663 0.664
S4 0.337 0.004 0.664
S5 0.333 0.667 0.942
P1 0.333 0.667 0.724
P2 0.667 0.333 0.276
S6 0.332 0.337 0.336
Ga1 0.000 0.000 0.500
K1 0.000 0.000 0.000
S7 0.667 0.333 0.058
S8 0.663 0.996 0.336
```